*1*
Material: WSe2I2
Method: DFT, PBE
State: optimized geometry

a = 4.2066 Å, b = 4.2066 Å, c = 19.8053 Å
α = 90.00°, β = 90.00°, γ = 90.00°
Last column: nearest neighbours and their distance in Å.
Space group I4/mmm (No. 139)
One atom of each set of equivalent atoms:
W: 0.0000 0.0000 0.0000  8 Se 3.20
Se: 0.0000 0.0000 0.4407  1 Se 2.35
I: 0.0000 0.5000 0.2500  4 I 2.97

Results
Calculated density: 5.6 g/cm3

*2*
Material: WSe2I2
Method: DFT, PBE
State: optimized geometry

a = 6.4787 Å, b = 6.4787 Å, c = 8.4301 Å
α = 90.00°, β = 90.00°, γ = 90.00°
Last column: nearest neighbours and their distance in Å.
Space group P4/mbm (No. 127)
One atom of each set of equivalent atoms:
W: 0.0000 0.0000 0.0000  4 Se 2.46
Se: 0.1519 0.3481 0.0000  2 W 2.46
I: 0.1599 0.6599 0.5000  1 I 2.93

Results
Calculated density: 5.6 g/cm3

Relative energies, in meV/atom, with the most stable structure set to zero: *1* 744; *2* 0.